# Nb2Os6Ru | Alexandria | PBE | relaxed
# Crystal system: monoclinic
data_Nb2Os6Ru
_cell_length_a 6.896
_cell_length_b 6.896
_cell_length_c 7.078
_cell_angle_alpha 114.55
_cell_angle_beta 114.55
_cell_angle_gamma 85.62
_symmetry_space_group_name_H-M 'P 1'
_symmetry_Int_Tables_number 1
_symmetry_space_group_name_Hall 'P 1'
loop_
_atom_site_label
_atom_site_type_symbol
_atom_site_fract_x
_atom_site_fract_y
_atom_site_fract_z
_atom_site_occupancy
Nb1 Nb 0.091 0.282 0.432 1
Nb2 Nb 0.282 0.091 0.932 1
Nb3 Nb 0.718 0.909 0.068 1
Nb4 Nb 0.909 0.718 0.568 1
Os1 Os 0.103 0.840 0.049 1
Os2 Os 0.119 0.442 0.873 1
Os3 Os 0.160 0.897 0.451 1
Os4 Os 0.314 0.487 0.320 1
Os5 Os 0.442 0.119 0.373 1
Os6 Os 0.487 0.314 0.820 1
Os7 Os 0.513 0.686 0.180 1
Os8 Os 0.558 0.881 0.627 1
Os9 Os 0.686 0.513 0.680 1
Os10 Os 0.840 0.103 0.549 1
Os11 Os 0.881 0.558 0.127 1
Os12 Os 0.897 0.160 0.951 1
Ru1 Ru 0.332 0.668 0.750 1
Ru2 Ru 0.668 0.332 0.250 1

***

# Nb6OsRu2 | Alexandria | PBE | relaxed
# Crystal system: monoclinic
data_Nb6OsRu2
_cell_length_a 7.594
_cell_length_b 7.594
_cell_length_c 4.368
_cell_angle_alpha 106.62
_cell_angle_beta 106.62
_cell_angle_gamma 47.76
_symmetry_space_group_name_H-M 'P 1'
_symmetry_Int_Tables_number 1
_symmetry_space_group_name_Hall 'P 1'
loop_
_atom_site_label
_atom_site_type_symbol
_atom_site_fract_x
_atom_site_fract_y
_atom_site_fract_z
_atom_site_occupancy
Nb1 Nb 0.084 0.583 0.333 1
Nb2 Nb 0.249 0.751 0.000 1
Nb3 Nb 0.417 0.916 0.667 1
Nb4 Nb 0.583 0.084 0.333 1
Nb5 Nb 0.751 0.249 0.000 1
Nb6 Nb 0.916 0.417 0.667 1
Os1 Os 0.500 0.500 0.500 1
Ru1 Ru 0.167 0.167 0.167 1
Ru2 Ru 0.833 0.833 0.833 1

***

# Nb3Os2Ru | Alexandria | PBE | relaxed
# Crystal system: tetragonal
data_Nb3Os2Ru
_cell_length_a 3.068
_cell_length_b 3.068
_cell_length_c 10.343
_cell_angle_alpha 90.00
_cell_angle_beta 90.00
_cell_angle_gamma 90.00
_symmetry_space_group_name_H-M 'P 1'
_symmetry_Int_Tables_number 1
_symmetry_space_group_name_Hall 'P 1'
loop_
_atom_site_label
_atom_site_type_symbol
_atom_site_fract_x
_atom_site_fract_y
_atom_site_fract_z
_atom_site_occupancy
Nb1 Nb 0.000 0.000 0.000 1
Nb2 Nb 0.000 0.000 0.334 1
Nb3 Nb 0.000 0.000 0.666 1
Os1 Os 0.500 0.500 0.167 1
Os2 Os 0.500 0.500 0.833 1
Ru1 Ru 0.500 0.500 0.500 1

***

# Nb2OsRu6 | Alexandria | PBE | relaxed
# Crystal system: monoclinic
data_Nb2OsRu6
_cell_length_a 5.144
_cell_length_b 5.144
_cell_length_c 6.231
_cell_angle_alpha 100.51
_cell_angle_beta 100.51
_cell_angle_gamma 61.86
_symmetry_space_group_name_H-M 'P 1'
_symmetry_Int_Tables_number 1
_symmetry_space_group_name_Hall 'P 1'
loop_
_atom_site_label
_atom_site_type_symbol
_atom_site_fract_x
_atom_site_fract_y
_atom_site_fract_z
_atom_site_occupancy
Nb1 Nb 0.169 0.169 0.362 1
Nb2 Nb 0.831 0.831 0.638 1
Os1 Os 0.500 0.500 0.500 1
Ru1 Ru 0.133 0.649 0.141 1
Ru2 Ru 0.341 0.341 0.778 1
Ru3 Ru 0.351 0.867 0.859 1
Ru4 Ru 0.649 0.133 0.141 1
Ru5 Ru 0.659 0.659 0.222 1
Ru6 Ru 0.867 0.351 0.859 1

***

# NbOsRu2 | Alexandria | PBE | relaxed
# Crystal system: tetragonal
data_NbOsRu2
_cell_length_a 9.294
_cell_length_b 9.294
_cell_length_c 9.294
_cell_angle_alpha 156.05
_cell_angle_beta 156.05
_cell_angle_gamma 34.13
_symmetry_space_group_name_H-M 'P 1'
_symmetry_Int_Tables_number 1
_symmetry_space_group_name_Hall 'P 1'
loop_
_atom_site_label
_atom_site_type_symbol
_atom_site_fract_x
_atom_site_fract_y
_atom_site_fract_z
_atom_site_occupancy
Nb1 Nb 0.000 0.000 0.000 1
Nb2 Nb 0.750 0.250 0.500 1
Os1 Os 0.250 0.750 0.500 1
Os2 Os 0.500 0.500 0.000 1
Ru1 Ru 0.143 0.625 0.018 1
Ru2 Ru 0.375 0.393 0.518 1
Ru3 Ru 0.607 0.125 0.982 1
Ru4 Ru 0.875 0.857 0.482 1

***

# Nb3OsRu | Alexandria | PBE | relaxed
# Crystal system: cubic
data_Nb3OsRu
_cell_length_a 4.788
_cell_length_b 4.788
_cell_length_c 4.788
_cell_angle_alpha 90.00
_cell_angle_beta 90.00
_cell_angle_gamma 90.00
_symmetry_space_group_name_H-M 'P 1'
_symmetry_Int_Tables_number 1
_symmetry_space_group_name_Hall 'P 1'
loop_
_atom_site_label
_atom_site_type_symbol
_atom_site_fract_x
_atom_site_fract_y
_atom_site_fract_z
_atom_site_occupancy
Nb1 Nb 0.000 0.000 0.500 1
Nb2 Nb 0.000 0.500 0.000 1
Nb3 Nb 0.500 0.000 0.000 1
Os1 Os 0.000 0.000 0.000 1
Ru1 Ru 0.500 0.500 0.500 1

***

# NbOs2Ru | Alexandria | PBE | relaxed
# Crystal system: tetragonal
data_NbOs2Ru
_cell_length_a 9.407
_cell_length_b 9.407
_cell_length_c 9.407
_cell_angle_alpha 156.40
_cell_angle_beta 156.40
_cell_angle_gamma 33.62
_symmetry_space_group_name_H-M 'P 1'
_symmetry_Int_Tables_number 1
_symmetry_space_group_name_Hall 'P 1'
loop_
_atom_site_label
_atom_site_type_symbol
_atom_site_fract_x
_atom_site_fract_y
_atom_site_fract_z
_atom_site_occupancy
Nb1 Nb 0.000 0.000 0.000 1
Nb2 Nb 0.750 0.250 0.500 1
Os1 Os 0.152 0.625 0.027 1
Os2 Os 0.375 0.402 0.527 1
Os3 Os 0.598 0.125 0.973 1
Os4 Os 0.875 0.848 0.473 1
Ru1 Ru 0.250 0.750 0.500 1
Ru2 Ru 0.500 0.500 0.000 1

***

# Nb2OsRu5 | Alexandria | PBE | relaxed
# Crystal system: orthorhombic
data_Nb2OsRu5
_cell_length_a 5.542
_cell_length_b 11.085
_cell_length_c 3.892
_cell_angle_alpha 90.00
_cell_angle_beta 90.00
_cell_angle_gamma 90.00
_symmetry_space_group_name_H-M 'P 1'
_symmetry_Int_Tables_number 1
_symmetry_space_group_name_Hall 'P 1'
loop_
_atom_site_label
_atom_site_type_symbol
_atom_site_fract_x
_atom_site_fract_y
_atom_site_fract_z
_atom_site_occupancy
Nb1 Nb 0.244 0.126 0.000 1
Nb2 Nb 0.256 0.626 0.000 1
Nb3 Nb 0.744 0.374 0.000 1
Nb4 Nb 0.756 0.874 0.000 1
Os1 Os 0.000 0.500 0.500 1
Os2 Os 0.500 0.000 0.500 1
Ru1 Ru 0.000 0.000 0.500 1
Ru2 Ru 0.005 0.749 0.500 1
Ru3 Ru 0.244 0.376 0.000 1
Ru4 Ru 0.256 0.876 0.000 1
Ru5 Ru 0.495 0.249 0.500 1
Ru6 Ru 0.500 0.500 0.500 1
Ru7 Ru 0.505 0.751 0.500 1
Ru8 Ru 0.744 0.124 0.000 1
Ru9 Ru 0.756 0.624 0.000 1
Ru10 Ru 0.995 0.251 0.500 1

***

Number 1: total energy -10.678 eV/atom. Number 2: total energy -9.794 eV/atom. Number 3: total energy -10.484 eV/atom. Number 4: total energy -9.514 eV/atom. Number 5: total energy -9.417 eV/atom. Number 6: total energy -8.780 eV/atom. Number 7: total energy -9.815 eV/atom. Number 8: total energy -9.831 eV/atom.